Record 1
# RbTlB2, relaxed, DFT PBE
data_RbTlB2
_chemical_formula_sum 'Rb2 Tl2 B4'
_cell_length_a 8.841
_cell_length_b 8.841
_cell_length_c 8.841
_cell_angle_alpha 148.54
_cell_angle_beta 148.54
_cell_angle_gamma 45.09
_space_group_name_H-M_alt 'P 1'
_space_group_IT_number 1
_space_group_name_Hall 'P 1'
loop_
_atom_site_label
_atom_site_type_symbol
_atom_site_fract_x
_atom_site_fract_y
_atom_site_fract_z
_atom_site_occupancy
Rb1 Rb 0.375 0.625 0.750 1
Rb2 Rb 0.625 0.375 0.250 1
Tl1 Tl 0.125 0.875 0.250 1
Tl2 Tl 0.875 0.125 0.750 1
B1 B 0.000 0.000 0.000 1
B2 B 0.000 0.000 0.500 1
B3 B 0.000 0.500 0.000 1
B4 B 0.500 0.000 0.500 1
# - formation energy (kJ/mol of atoms) = 137
# - space-group type = I4_1/amd (141)

Record 2
# RbTlB, relaxed, DFT PBE
data_RbTlB
_chemical_formula_sum 'Rb2 Tl2 B2'
_cell_length_a 8.295
_cell_length_b 8.295
_cell_length_c 3.282
_cell_angle_alpha 99.23
_cell_angle_beta 99.23
_cell_angle_gamma 123.32
_space_group_name_H-M_alt 'P 1'
_space_group_IT_number 1
_space_group_name_Hall 'P 1'
loop_
_atom_site_label
_atom_site_type_symbol
_atom_site_fract_x
_atom_site_fract_y
_atom_site_fract_z
_atom_site_occupancy
Rb1 Rb 0.153 0.847 0.500 1
Rb2 Rb 0.847 0.153 0.000 1
Tl1 Tl 0.347 0.557 0.891 1
Tl2 Tl 0.557 0.347 0.391 1
B1 B 0.723 0.729 0.314 1
B2 B 0.729 0.723 0.814 1
# - formation energy (kJ/mol of atoms) = 20
# - space-group type = Cc (9)

Excess energy over the best structure of this formula in the dataset for the records above, in order: 0.000, 0.006 eV/atom
Total energy for the records above, in order: -2.76, -3.13 eV/atom